A plane-wave DFT calculation with PBE with a Hubbard U was carried out for a relaxed Rb2NiAuO4 crystal.

The structure belongs to space group Fddd (No. 70, origin choice 2); the cell edges are 5.778, 13.841 and 19.145 Å and the angles 90.00°, 90.00° and 90.00°. Symmetry generates all atoms from Rb at (0.125, 0.125, 0.294), Ni at (0.125, 0.125, 0.125), Au at (0.125, 0.125, 0.625) and O at (0.101, 0.283, 0.376).

The total energy comes out at -4.28 eV/atom.